Entry from the Alexandria database: an optimized crystal structure of CsK2VO4 (GGA+U).

Values from the calculation:
As for the calculated volume: 21.07 Å³/atom. For the magnetization, the calculation gives 0.2 μB per formula unit. The total energy is -5.73 eV/atom. The theoretical density comes out at 3.211 g/cm3. The symmetry is No. 42.

a = 6.4934 Å, b = 6.4934 Å, c = 6.0783 Å
α = 122.07°, β = 122.07°, γ = 90.34°
Closest atoms and distances in Å follow each position.
Fractional coordinates of all 8 atoms:
O  0.2172  0.2172  0.7493  1 V 1.75
V  0.4996  0.4996  0.9993  4 O 1.75
Cs  0.0005  0.0005  0.0010  8 O 3.29-3.34
K  0.2513  0.7513  0.5027  4 O 2.64-2.65
O  0.7810  0.4672  0.2482  1 V 1.75
O  0.5320  0.5320  0.7493  1 V 1.75
O  0.4672  0.7810  0.2482  1 V 1.75
K  0.7513  0.2513  0.5027  4 O 2.64-2.65